Crystalline TmMnRu2 at its relaxed geometry. Source: Alexandria via LeMat-Bulk, functional PBE-GGA.

POSCAR file:
```
TmMnRu2
1.0
-0.531 -3.210 0.220
4.361 -0.755 -0.493
0.536 0.214 4.415
Mn Tm Ru
1 1 2
Cartesian
-0.265 -1.605 0.110 Mn
2.183 -1.875 2.071 Tm
2.180 -0.377 -0.246 Ru
0.268 0.107 2.208 Ru
```

## Properties
N(E_F) = 0.79 states/eV per atom
theoretical density = 10.941 g/cm3
total magnetization = 0.7464 μB per atom
E_form = -0.088 eV/atom
calculated total energy = -8.14 eV per atom